# Be3CoB

Crystalline Be3CoB at its relaxed geometry (PBE-GGA, Alexandria via LeMat-Bulk).

Calculated values
Density   4.1 g/cm³
ΔE to the lowest computed polymorph   0.000 eV per atom
Total DFT energy (no corrections)   -5.0431 eV per atom
Formation energy   -0.051 eV/atom

abc: 6.084 6.084 5.233
angles: 90.00 90.00 125.64
Fractional coordinates of all 20 atoms:
Be (0.038, 0.962, 0.809)
Be (0.089, 0.282, 0.565)
Be (0.218, 0.411, 0.935)
Be (0.282, 0.089, 0.435)
Be (0.411, 0.218, 0.065)
Be (0.462, 0.538, 0.309)
Be (0.538, 0.462, 0.691)
Be (0.589, 0.782, 0.935)
Be (0.718, 0.911, 0.565)
Be (0.782, 0.589, 0.065)
Be (0.911, 0.718, 0.435)
Be (0.962, 0.038, 0.191)
Co (0.031, 0.469, 0.250)
Co (0.469, 0.031, 0.750)
Co (0.531, 0.969, 0.250)
Co (0.969, 0.531, 0.750)
B (0.163, 0.837, 0.092)
B (0.337, 0.663, 0.592)
B (0.663, 0.337, 0.408)
B (0.837, 0.163, 0.908)